(1)
First-principles (PBE-GGA) data for a geometry-optimized FeNi2Ru structure, as listed in the Alexandria database.

a = 2.5914 Å, b = 2.5914 Å, c = 24.9840 Å
α = 90.00°, β = 90.00°, γ = 120.00°
Space group R-3m (No. 166, hexagonal axes)
Asymmetric unit:
1 Fe 0.0000 0.0000 0.0000 x3
2 Ni 0.0000 0.0000 0.2522 x6
3 Ru 0.0000 0.0000 0.5000 x3

Properties
E_form (meV per atom): 114.9
VASP energy (eV/atom): -7.2104

(2)
First-principles (PBE-GGA) data for a geometry-optimized Na2AsIr structure, as listed in the Alexandria database.

a = 11.250 Å, b = 11.250 Å, c = 4.566 Å
α = 90.00°, β = 90.00°, γ = 90.00°
Space group I-42d (No. 122)
Asymmetric unit:
1 Na 0.003 0.250 0.125 x8
2 As 0.000 0.000 0.500 x4
3 Ir 0.000 0.000 0.000 x4

Properties
E_form (meV per atom): -21.1
VASP energy (eV/atom): -4.0582

(3)
First-principles (PBE-GGA) data for a geometry-optimized K4Rb5Au6 structure, as listed in the Alexandria database.

a = 5.570 Å, b = 24.843 Å, c = 18.040 Å
α = 90.00°, β = 90.00°, γ = 90.00°
Space group Cmc2_1 (No. 36)
Asymmetric unit:
1 K 0.000 0.011 0.000 x4
2 K 0.000 0.038 0.305 x4
3 K 0.000 0.151 0.783 x4
4 K 0.000 0.169 0.442 x4
5 Rb 0.000 0.171 0.115 x4
6 Rb 0.000 0.324 0.092 x4
7 Rb 0.000 0.328 0.785 x4
8 Rb 0.000 0.345 0.439 x4
9 Rb 0.000 0.468 0.171 x4
10 Au 0.000 0.100 0.611 x4
11 Au 0.000 0.238 0.937 x4
12 Au 0.000 0.259 0.279 x4
13 Au 0.000 0.406 0.613 x4
14 Au 0.000 0.425 0.934 x4
15 Au 0.000 0.472 0.366 x4

Properties
E_form (meV per atom): -202.0
VASP energy (eV/atom): -2.1281

Q: Which of these has the lowest E_form?
A: K4Rb5Au6

Q: Number 3 is which compound?
A: K4Rb5Au6

Q: Which of these has the highest E_form?
A: FeNi2Ru

Q: What is the formula in the first record?
A: FeNi2Ru